A plane-wave DFT calculation with PBE was carried out for a relaxed La3NdS6 crystal.

Computed properties:
The polymorph energy (0 for the lowest one) comes out at 0.00 eV/f.u. The formation energy (no corrections) comes out at -2.1369 eV/atom. The calculation puts the total energy at -6.568 eV/atom. The total magnetization comes out at 0.0 μB per cell.

Lattice parameters (Å, degrees): 8.438 8.438 8.438 91.38 91.38 91.38
Sites, in units of the cell vectors:
La: 0.435 0.927 0.751
La: 0.927 0.751 0.435
La: 0.249 0.565 0.073
La: 0.751 0.435 0.927
La: 0.073 0.249 0.565
La: 0.565 0.073 0.249
Nd: 0.000 0.000 0.000
Nd: 0.500 0.500 0.500
S: 0.314 0.908 0.074
S: 0.092 0.926 0.686
S: 0.595 0.817 0.465
S: 0.926 0.686 0.092
S: 0.465 0.595 0.817
S: 0.183 0.535 0.405
S: 0.817 0.465 0.595
S: 0.535 0.405 0.183
S: 0.074 0.314 0.908
S: 0.405 0.183 0.535
S: 0.908 0.074 0.314
S: 0.686 0.092 0.926